Record 1
Compound: Tb5Tm8Th
Source: Alexandria via LeMat-Bulk
Functional: PBE
Structure: relaxed

Properties
total energy: -4.455 eV/atom

Unit cell a=8.3628 b=8.3628 c=8.3628 alpha=110.38 beta=107.66 gamma=110.38
Site moments in Bohr magnetons follow the coordinates.
Element x y z (fractional)
Tm1 0.9249 0.0784 0.6624  0.09
Tm2 0.1535 0.7375 0.0751  0.09
Tm3 0.0888 0.7427 0.4866  0.02
Tm4 0.6539 0.3978 0.9112  0.02
Tm5 0.3376 0.2625 0.4160  0.09
Tm6 0.5134 0.6022 0.2562  0.02
Tm7 0.5840 0.9216 0.8465  0.09
Tm8 0.7438 0.2573 0.3461  0.02
Tb1 0.5000 0.0000 0.5000  0.01
Tb2 0.8679 0.8998 0.1999  0.01
Tb3 0.0319 0.3320 0.1321  0.01
Tb4 0.8001 0.6680 0.6999  0.01
Tb5 0.3001 0.1002 0.9681  0.01
Th1 0.2500 0.5000 0.7500  0.27

---

Record 2
Compound: Tb6Tm5Th
Source: Alexandria via LeMat-Bulk
Functional: PBE
Structure: relaxed

Properties
total energy: -4.672 eV/atom

Unit cell a=10.0279 b=10.0279 c=5.7979 alpha=106.79 beta=106.79 gamma=124.40
Element x y z (fractional)
Tm1 0.5000 0.5000 0.5000
Tm2 0.6560 0.3440 0.0000
Tm3 0.8448 0.1552 0.5000
Tm4 0.1552 0.8448 0.5000
Tm5 0.3440 0.6560 0.0000
Tb1 0.4272 0.0694 0.2483
Tb2 0.7505 0.7505 0.2501
Tb3 0.2495 0.2495 0.7499
Tb4 0.9306 0.5728 0.7517
Tb5 0.5728 0.9306 0.7517
Tb6 0.0694 0.4272 0.2483
Th1 0.0000 0.0000 0.0000

---

Record 3
Compound: Tb6TmTh8
Source: Alexandria via LeMat-Bulk
Functional: PBE
Structure: relaxed

Properties
total energy: -5.871 eV/atom

Unit cell a=6.7480 b=9.2551 c=9.2551 alpha=120.00 beta=90.00 gamma=90.00
Element x y z (fractional)
Th1 0.1095 0.6667 0.3333
Th2 0.8349 0.0321 0.2800
Th3 0.1651 0.2800 0.2479
Th4 0.1651 0.7521 0.0321
Th5 0.8349 0.2479 0.9679
Th6 0.8905 0.3333 0.6667
Th7 0.1651 0.9679 0.7200
Th8 0.8349 0.7200 0.7521
Tb1 0.3388 0.5711 0.6524
Tb2 0.3388 0.3476 0.9187
Tb3 0.6612 0.9187 0.5711
Tb4 0.3388 0.0813 0.4289
Tb5 0.6612 0.6524 0.0813
Tb6 0.6612 0.4289 0.3476
Tm1 0.5000 0.0000 0.0000

---

Record 4
Compound: TbTmTh3
Source: Alexandria via LeMat-Bulk
Functional: PBE
Structure: relaxed

Properties
offset from the most stable computed form: 158.4 meV per atom

Unit cell a=3.4908 b=8.8288 c=8.8289 alpha=140.30 beta=91.36 gamma=91.36
Element x y z (fractional)
Tm1 0.0000 0.5871 0.4129
Tb1 0.5000 0.0540 0.9460
Th1 0.2819 0.1299 0.3634
Th2 0.0000 0.2204 0.7796
Th3 0.7181 0.6366 0.8701

---

Record 5
Compound: Tb3Tm3Th4
Source: Alexandria via LeMat-Bulk
Functional: PBE
Structure: relaxed

Properties
total energy: -5.471 eV/atom

Unit cell a=3.7579 b=9.3469 c=9.3469 alpha=89.85 beta=90.00 gamma=90.00
Element x y z (fractional)
Tb1 0.0000 0.9989 0.4986
Tb2 0.5000 0.1637 0.8363
Tb3 0.0000 0.5014 0.0011
Tm1 0.5000 0.3364 0.3360
Tm2 0.5000 0.8364 0.1636
Tm3 0.5000 0.6640 0.6636
Th1 0.0000 0.6323 0.3677
Th2 0.0000 0.8666 0.8677
Th3 0.0000 0.3681 0.6319
Th4 0.0000 0.1323 0.1334

---

Record 6
Compound: Tb2Tm12Th
Source: Alexandria via LeMat-Bulk
Functional: PBE
Structure: relaxed

Properties
total energy: -4.584 eV/atom

Unit cell a=6.5588 b=6.5588 c=24.3317 alpha=83.34 beta=83.34 gamma=115.04
Element x y z (fractional)
Tm1 0.1657 0.1657 0.4449
Tm2 0.4989 0.4989 0.6698
Tm3 0.6657 0.6657 0.4449
Tm4 0.9500 0.9499 0.0668
Tm5 0.0501 0.0500 0.9332
Tm6 0.8521 0.3521 0.8643
Tm7 0.1479 0.6479 0.1357
Tm8 0.9989 0.9989 0.6698
Tm9 0.6814 0.1814 0.4238
Tm10 0.5500 0.5501 0.9332
Tm11 0.3186 0.8186 0.5762
Tm12 0.6479 0.1479 0.1357
Tm13 0.5011 0.5011 0.3302
Tm14 0.1814 0.6814 0.4238
Tm15 0.3946 0.3946 0.8073
Tm16 0.6054 0.6054 0.1927
Tm17 0.1054 0.1054 0.1927
Tm18 0.4499 0.4500 0.0668
Tm19 0.8343 0.8343 0.5551
Tm20 0.0011 0.0011 0.3302
Tm21 0.3343 0.3343 0.5551
Tm22 0.8186 0.3186 0.5762
Tm23 0.8946 0.8946 0.8073
Tm24 0.3521 0.8521 0.8643
Tb1 0.4626 0.9626 0.7187
Tb2 0.0374 0.5374 0.2813
Tb3 0.5374 0.0374 0.2813
Tb4 0.9626 0.4626 0.7187
Th1 0.5000 0.0000 0.0000
Th2 0.0000 0.5000 0.0000

---

Record 7
Compound: Tb4Tm3Th2
Source: Alexandria via LeMat-Bulk
Functional: PBE
Structure: relaxed

Properties
offset from the most stable computed form: 49.6 meV per atom

Unit cell a=6.1097 b=9.9276 c=9.9276 alpha=71.98 beta=84.04 gamma=84.04
Element x y z (fractional)
Tb1 0.0165 0.8122 0.0886
Tb2 0.5165 0.0886 0.8122
Tb3 0.6546 0.8531 0.5801
Tb4 0.1546 0.5801 0.8531
Tb5 0.4835 0.9114 0.1878
Tb6 0.9835 0.1878 0.9114
Tb7 0.8454 0.4199 0.1469
Tb8 0.3454 0.1469 0.4199
Tm1 0.5851 0.7270 0.9373
Tm2 0.0851 0.9373 0.7270
Tm3 0.4149 0.2730 0.0627
Tm4 0.9149 0.0627 0.2730
Tm5 0.7500 0.6079 0.3921
Tm6 0.2500 0.3921 0.6079
Th1 0.1867 0.7511 0.4721
Th2 0.6867 0.4721 0.7511
Th3 0.8133 0.2489 0.5279
Th4 0.3133 0.5279 0.2489

---

Record 8
Compound: Tb5Tm2Th
Source: Alexandria via LeMat-Bulk
Functional: PBE
Structure: relaxed

Properties
total energy: -4.914 eV/atom

Unit cell a=5.0084 b=7.0941 c=14.2070 alpha=90.00 beta=90.00 gamma=90.00
Element x y z (fractional)
Tb1 0.5000 0.7480 0.1237
Tb2 0.0000 0.4956 0.7510
Tb3 0.0000 0.5000 0.5000
Tb4 0.5000 0.2480 0.3763
Tb5 0.0000 0.0000 0.0000
Tb6 0.0000 0.0044 0.2510
Tb7 0.5000 0.7520 0.6237
Tb8 0.0000 0.5044 0.2490
Tb9 0.0000 0.9956 0.7490
Tb10 0.5000 0.2520 0.8763
Th1 0.0000 0.5000 0.0000
Th2 0.0000 0.0000 0.5000
Tm1 0.5000 0.7572 0.3766
Tm2 0.5000 0.2428 0.6234
Tm3 0.5000 0.2572 0.1234
Tm4 0.5000 0.7428 0.8766

---

Record 9
Compound: Tb8Tm3Th
Source: Alexandria via LeMat-Bulk
Functional: PBE
Structure: relaxed

Properties
total energy: -4.772 eV/atom

Unit cell a=3.5129 b=8.2921 c=14.7847 alpha=72.62 beta=103.75 gamma=77.78
Element x y z (fractional)
Tb1 0.0262 0.9481 0.2097
Tb2 0.1919 0.2825 0.5422
Tb3 0.8517 0.6303 0.8768
Tb4 0.2322 0.3686 0.1259
Tb5 0.4813 0.8715 0.6258
Tb6 0.4157 0.6723 0.4615
Tb7 0.6257 0.1023 0.3863
Tb8 0.0363 0.0651 0.7780
Tm1 0.6381 0.2142 0.9552
Tm2 0.4333 0.7961 0.0414
Tm3 0.8182 0.5281 0.2914
Th1 0.2479 0.4906 0.7023

---

Record 10
Compound: Tb3Tm2Th3
Source: Alexandria via LeMat-Bulk
Functional: PBE
Structure: relaxed

Properties
total energy: -5.599 eV/atom

Unit cell a=5.0213 b=5.0070 c=10.0719 alpha=90.00 beta=90.00 gamma=90.00
Element x y z (fractional)
Th1 0.5000 0.5000 0.2496
Th2 0.5000 0.5000 0.7504
Th3 0.5000 0.0000 0.0000
Tm1 0.0000 0.0000 0.7516
Tm2 0.0000 0.0000 0.2484
Tb1 0.0000 0.5000 0.0000
Tb2 0.5000 0.0000 0.5000
Tb3 0.0000 0.5000 0.5000

---

Record 11
Compound: Tb3Tm2Th4
Source: Alexandria via LeMat-Bulk
Functional: PBE
Structure: relaxed

Properties
total energy: -5.788 eV/atom

Unit cell a=6.1574 b=6.1494 c=12.7618 alpha=118.55 beta=103.87 gamma=119.96
Element x y z (fractional)
Tb1 0.4442 0.8888 0.3321
Tb2 0.0000 0.0000 0.0000
Tb3 0.5558 0.1112 0.6679
Th1 0.3341 0.6664 0.9992
Th2 0.6659 0.3336 0.0008
Th3 0.8942 0.7883 0.6688
Th4 0.1058 0.2117 0.3312
Tm1 0.7730 0.5522 0.3321
Tm2 0.2270 0.4478 0.6679

---

Record 12
Compound: Tb2Tm6Th
Source: Alexandria via LeMat-Bulk
Functional: PBE
Structure: relaxed

Properties
offset from the most stable computed form: 0.0 meV per atom

Unit cell a=3.5473 b=3.5473 c=25.8730 alpha=90.00 beta=90.00 gamma=120.00
Site moments in Bohr magnetons follow the coordinates.
Element x y z (fractional)
Tm1 0.3333 0.6667 0.4356  0.15
Tm2 0.3333 0.6667 0.2181  0.10
Tm3 0.6667 0.3333 0.1111  0.03
Tm4 0.3333 0.6667 0.7819  0.10
Tm5 0.6667 0.3333 0.8889  0.03
Tm6 0.3333 0.6667 0.5644  0.15
Tb1 0.6667 0.3333 0.6721  0.07
Tb2 0.6667 0.3333 0.3279  0.07
Th1 0.3333 0.6667 0.0000  -0.01

---

> Number 3 is which compound?

Tb6TmTh8